[1]
Here is a relaxed Ac2La7Tb3 crystal from Alexandria via LeMat-Bulk. Energies are from PBE.

Computed properties:
The value obtained for the density of states at the Fermi level is 20.056 states/eV/cell. Its magnetic moment is 0.00 μB per formula unit. The energy of formation is 0.075 eV per atom. Its symmetry is P2/m, No. 10.

a = 6.6127 Å, b = 3.6829 Å, c = 18.3143 Å
α = 90.00°, β = 95.14°, γ = 90.00°
With the nearest neighbours (Å) after each atom.
Sites, in units of the cell vectors:
Ac (0.0751, 0.0000, 0.1702)  5 La 3.56-3.75, 2 Ac 3.68, 4 Tb 3.71-3.86
Ac (0.9249, 0.0000, 0.8298)  5 La 3.56-3.75, 2 Ac 3.68, 4 Tb 3.71-3.86
La (0.0000, 0.5000, 0.5000)  8 La 3.66-3.75, 4 Tb 3.78
La (0.2227, 0.0000, 0.6667)  8 La 3.68-3.84, 3 Tb 3.70-3.76, 1 Ac 3.72
La (0.2676, 0.0000, 0.9909)  1 La 3.06
La (0.2872, 0.5000, 0.3385)  7 La 3.66-3.84, 3 Tb 3.66-3.79, 2 Ac 3.75
La (0.7128, 0.5000, 0.6615)  7 La 3.66-3.84, 3 Tb 3.66-3.79, 2 Ac 3.75
La (0.7324, 0.0000, 0.0091)  1 La 3.06
La (0.7773, 0.0000, 0.3333)  8 La 3.68-3.84, 3 Tb 3.70-3.76, 1 Ac 3.72
Tb (0.4390, 0.5000, 0.8346)  7 La 3.67-4.03, 2 Tb 3.68, 4 Ac 3.71-3.86
Tb (0.5000, 0.0000, 0.5000)  10 La 3.66-3.78, 2 Tb 3.68
Tb (0.5610, 0.5000, 0.1654)  7 La 3.67-4.03, 2 Tb 3.68, 4 Ac 3.71-3.86



[2]
Here is a relaxed La12Ni6Pb crystal from Alexandria via LeMat-Bulk. Energies are from PBE.

Computed properties:
The value obtained for the density of states at the Fermi level is 20.517 states/eV/cell. Its magnetic moment is 0.00 μB per formula unit. The energy of formation is -0.316 eV per atom. Its symmetry is Im-3, No. 204.

a = 8.8963 Å, b = 8.8963 Å, c = 8.8963 Å
α = 109.47°, β = 109.47°, γ = 109.47°
With the nearest neighbours (Å) after each atom.
Sites, in units of the cell vectors:
La (0.1301, 0.3119, 0.8183)  3 Ni 2.77-2.98
La (0.1817, 0.4936, 0.3119)  3 Ni 2.77-2.98
La (0.1817, 0.8699, 0.6881)  3 Ni 2.77-2.98
La (0.3119, 0.1817, 0.4936)  3 Ni 2.77-2.98
La (0.3119, 0.8183, 0.1301)  3 Ni 2.77-2.98
La (0.4936, 0.3119, 0.1817)  3 Ni 2.77-2.98
La (0.5064, 0.6881, 0.8183)  3 Ni 2.77-2.98
La (0.6881, 0.1817, 0.8699)  3 Ni 2.77-2.98
La (0.6881, 0.8183, 0.5064)  3 Ni 2.77-2.98
La (0.8183, 0.1301, 0.3119)  3 Ni 2.77-2.98
La (0.8183, 0.5064, 0.6881)  3 Ni 2.77-2.98
La (0.8699, 0.6881, 0.1817)  3 Ni 2.77-2.98
Ni (0.1247, 0.5000, 0.6247)  1 Ni 2.56, 2 La 2.77
Ni (0.3753, 0.8753, 0.5000)  1 Ni 2.56, 2 La 2.77
Ni (0.5000, 0.3753, 0.8753)  1 Ni 2.56, 2 La 2.77
Ni (0.5000, 0.6247, 0.1247)  1 Ni 2.56, 2 La 2.77
Ni (0.6247, 0.1247, 0.5000)  1 Ni 2.56, 2 La 2.77
Ni (0.8753, 0.5000, 0.3753)  1 Ni 2.56, 2 La 2.77
Pb (0.0000, 0.0000, 0.0000)  12 La 3.71